DFT (PBE) results for a geometry-optimized CaCuP2O8 structure.

Output
- spin magnetization (μB/atom) = 0.0812
- formation energy without anion corrections (eV/atom) = -1.799
- crystal system = trigonal
- SG = R-3, No. 148

Lattice parameters (Å, degrees): 7.6637 7.6637 7.6637 35.65 35.65 35.65
Closest atoms and distances in Å follow each position.
Element x y z (fractional)
1 Ca 0.0000 0.0000 0.0000  12 O 2.74-2.89
2 Cu 0.5000 0.5000 0.5000  6 O 1.98
3 P 0.2433 0.2433 0.2433  4 O 1.55
4 P 0.7567 0.7567 0.7567  4 O 1.55
5 O 0.0992 0.7675 0.4654  1 P 1.55
6 O 0.2325 0.5346 0.9008  1 P 1.55
7 O 0.3151 0.3151 0.3151  1 P 1.55
8 O 0.4654 0.0992 0.7675  1 P 1.55
9 O 0.5346 0.9008 0.2325  1 P 1.55
10 O 0.6849 0.6849 0.6849  1 P 1.55
11 O 0.7675 0.4654 0.0992  1 P 1.55
12 O 0.9008 0.2325 0.5346  1 P 1.55